(1)
Density functional theory data (GGA-PBE) for PrErTe2Br after structural relaxation.

Cell: 4.4443 4.4443 15.1038 Å, 90.00 90.00 90.00°
With the nearest neighbours (Å) after each atom.
Fractional positions:
Pr 0.0000 0.5000 0.3558  4 Br 3.11, 4 Te 3.30
Pr 0.5000 0.0000 0.6442  4 Br 3.11, 4 Te 3.30
Er 0.0000 0.5000 0.9158  6 Te 3.06-3.18
Er 0.5000 0.0000 0.0842  6 Te 3.06-3.18
Br 0.0000 0.0000 0.5000  4 Pr 3.11, 4 Br 3.14
Br 0.5000 0.5000 0.5000  4 Pr 3.11, 4 Br 3.14
Te 0.5000 0.0000 0.2891  1 Er 3.09, 4 Pr 3.30
Te 0.0000 0.5000 0.7109  1 Er 3.09, 4 Pr 3.30
Te 0.0000 0.5000 0.1181  5 Er 3.06-3.18
Te 0.5000 0.0000 0.8819  5 Er 3.06-3.18

Values from the calculation:
Density of states at the Fermi level, states/eV per atom: 0.313
Formation energy (no corrections), eV/atom: -1.41
Total magnetic moment, Bohr magnetons per cell: 0.00

(2)
Density functional theory data (GGA-PBE) for Rb2CuRhBr6 after structural relaxation.

Cell: 7.3954 7.3954 7.3805 Å, 59.93 59.93 90.00°
With the nearest neighbours (Å) after each atom.
Fractional positions:
Cu 0.5000 0.5000 0.0000  6 Br 2.64-2.67
Br 0.7549 0.2451 0.0000  1 Rh 2.56, 1 Cu 2.67
Br 0.7549 0.7549 0.0000  1 Rh 2.56, 1 Cu 2.67
Br 0.2464 0.2464 0.5071  1 Rh 2.57, 1 Cu 2.64
Br 0.2451 0.2451 0.0000  1 Rh 2.56, 1 Cu 2.67
Br 0.7536 0.7536 0.4929  1 Rh 2.57, 1 Cu 2.64
Br 0.2451 0.7549 0.0000  1 Rh 2.56, 1 Cu 2.67
Rb 0.2500 0.7500 0.5000  12 Br 3.69-3.70
Rb 0.7500 0.2500 0.5000  12 Br 3.69-3.70
Rh 0.0000 0.0000 0.0000  6 Br 2.56-2.57

Values from the calculation:
Density of states at the Fermi level, states/eV per atom: 0.362
Formation energy (no corrections), eV/atom: -0.87
Total magnetic moment, Bohr magnetons per cell: 0.00

(3)
Density functional theory data (GGA-PBE) for KCa2LaAu after structural relaxation.

Cell: 5.9832 5.9832 5.8412 Å, 90.00 90.00 90.00°
With the nearest neighbours (Å) after each atom.
Fractional positions:
Au 0.0000 0.0000 0.0000  2 La 2.92, 4 Ca 2.99
Ca 0.0000 0.5000 0.0000  2 Au 2.99
Ca 0.5000 0.0000 0.0000  2 Au 2.99
K 0.5000 0.5000 0.5000  8 Ca 4.18, 4 La 4.23
La 0.0000 0.0000 0.5000  2 Au 2.92

Values from the calculation:
Density of states at the Fermi level, states/eV per atom: 1.145
ΔE_f, eV/atom: -0.194
Total magnetic moment, Bohr magnetons per cell: 0.00